{
  "formula": "PaCoO",
  "functional": "PBE with a Hubbard U",
  "state": "optimized geometry",
  "lattice_angstrom": [[4.027, 0.000, 0.000], [2.014, 3.475, -0.303], [2.014, -0.520, 7.277]],
  "species": ["Pa", "Pa", "Co", "Co", "O", "O"],
  "frac_coords": [[0.036, 0.232, 0.697], [0.964, 0.768, 0.303], [0.838, 0.331, 0.993], [0.162, 0.669, 0.007], [0.239, 0.131, 0.391], [0.761, 0.869, 0.609]],
  "volume_a3_per_atom": 16.87,
  "e_tot_ev_per_atom": -7.82
}